VAsRhF2 PBE with a Hubbard U optimized geometry; DFT total energy = -5.4688 eV/atom; volume = 75.6 Å³/cell; total magnetization = 0.0 μB/f.u.
1.0
3.728 0.000 0.000
0.000 3.728 0.000
0.000 0.000 5.439
V As Rh F
1 1 1 2
direct
0.000 0.000 0.000
0.500 0.500 0.500
0.000 0.000 0.500
0.000 0.500 0.000
0.500 0.000 0.000